# 1
The following is a DFT calculation (PBE) of a relaxed Ce5Pu2Ru4 crystal.

Properties
As for the symmetry: No. 12. The calculation puts the formation energy at -0.35 eV per formula unit. As for the energy: -95.8 eV/f.u. The calculation puts the calculated volume at 22.73 A^3/atom.

Cell: 10.319 10.319 7.581 Å, 90.07 90.07 18.05°
Positions (direct):
Ce: 0.000 0.000 0.000
Ce: 0.284 0.284 0.309
Ce: 0.335 0.335 0.958
Ce: 0.665 0.665 0.042
Ce: 0.716 0.716 0.691
Pu: 0.424 0.424 0.388
Pu: 0.576 0.576 0.612
Ru: 0.164 0.164 0.372
Ru: 0.451 0.451 0.759
Ru: 0.549 0.549 0.241
Ru: 0.836 0.836 0.628

---

# 2
The following is a DFT calculation (PBE) of a relaxed Y4ReBr crystal.

Properties
The formation energy without anion corrections comes out at 0.927 eV/atom. As for the symmetry: No. 216. As for the energy: -34.4 eV/f.u. The calculation puts the calculated volume at 27.60 A^3/atom.

Cell: 6.164 6.164 6.164 Å, 60.00 60.00 60.00°
Positions (direct):
Y: 0.378 0.378 0.378
Y: 0.378 0.378 0.867
Y: 0.378 0.867 0.378
Y: 0.867 0.378 0.378
Re: 0.750 0.750 0.750
Br: 0.000 0.000 0.000

---

# 3
The following is a DFT calculation (PBE) of a relaxed TaGaRe crystal.

Properties
As for the symmetry: No. 59. The calculation puts the formation energy at -0.23 eV per formula unit. As for the energy: -27.6 eV/f.u. The calculation puts the calculated volume at 16.18 A^3/atom.

Cell: 3.163 4.359 7.041 Å, 90.00 90.00 90.00°
Positions (direct):
Ta: 0.250 0.250 0.160
Ta: 0.750 0.750 0.840
Ga: 0.250 0.250 0.782
Ga: 0.750 0.750 0.218
Re: 0.250 0.750 0.521
Re: 0.750 0.250 0.479

---

# 4
The following is a DFT calculation (PBE) of a relaxed ScSn2BAu crystal.

Properties
As for the symmetry: No. 123. The calculation puts the formation energy at 0.44 eV per formula unit. As for the energy: -23.9 eV/f.u. The calculation puts the calculated volume at 20.25 A^3/atom.

Cell: 4.690 4.690 4.604 Å, 90.00 90.00 90.00°
Positions (direct):
Sc: 0.000 0.000 0.000
Sn: 0.000 0.500 0.500
Sn: 0.500 0.000 0.500
B: 0.000 0.000 0.500
Au: 0.500 0.500 0.000

---

# 5
The following is a DFT calculation (PBE) of a relaxed ReSn3I crystal.

Properties
The formation energy without anion corrections comes out at 1.969 eV/atom. As for the symmetry: No. 221. As for the energy: -16.2 eV/f.u. For the polymorph energy (0 for the lowest one), the calculation gives 1.954 eV per atom. The calculation puts the calculated volume at 38.19 A^3/atom.

Cell: 5.758 5.758 5.758 Å, 90.00 90.00 90.00°
Positions (direct):
Re: 0.000 0.000 0.000
Sn: 0.000 0.500 0.500
Sn: 0.500 0.000 0.500
Sn: 0.500 0.500 0.000
I: 0.500 0.500 0.500

---

# 6
The following is a DFT calculation (PBE) of a relaxed Tb3Pm4ScS8 crystal.

Properties
The formation energy without anion corrections comes out at -1.991 eV/atom. As for the symmetry: No. 166. As for the energy: -104.1 eV/f.u. The calculation puts the calculated volume at 21.88 A^3/atom.

Cell: 7.956 7.956 7.956 Å, 59.27 59.27 59.27°
Positions (direct):
Tb: 0.000 0.500 0.500
Tb: 0.500 0.000 0.500
Tb: 0.500 0.500 0.000
Pm: 0.000 0.000 0.500
Pm: 0.000 0.500 0.000
Pm: 0.500 0.000 0.000
Pm: 0.500 0.500 0.500
Sc: 0.000 0.000 0.000
S: 0.240 0.240 0.753
S: 0.240 0.753 0.240
S: 0.247 0.760 0.760
S: 0.254 0.254 0.254
S: 0.746 0.746 0.746
S: 0.753 0.240 0.240
S: 0.760 0.247 0.760
S: 0.760 0.760 0.247

---

# 7
The following is a DFT calculation (PBE) of a relaxed CaCo2Ag crystal.

Properties
As for the symmetry: No. 44. The calculation puts the formation energy at 1.25 eV per formula unit. As for the energy: -17.8 eV/f.u. The calculation puts the calculated volume at 17.40 A^3/atom.

Cell: 5.301 5.301 5.301 Å, 143.14 127.89 65.53°
Positions (direct):
Ca: 0.000 0.000 0.000
Co: 0.285 0.785 0.500
Co: 0.455 0.455 0.000
Ag: 0.715 0.215 0.500

---

# 8
The following is a DFT calculation (PBE) of a relaxed ZnCrI3 crystal.

Properties
The formation energy without anion corrections comes out at 0.273 eV/atom. As for the symmetry: No. 221. As for the energy: -14.2 eV/f.u. For the polymorph energy (0 for the lowest one), the calculation gives 0.204 eV per atom. The calculation puts the calculated volume at 35.15 A^3/atom.

Cell: 5.601 5.601 5.601 Å, 90.00 90.00 90.00°
Positions (direct):
Zn: 0.000 0.000 0.000
Cr: 0.500 0.500 0.500
I: 0.000 0.000 0.500
I: 0.000 0.500 0.000
I: 0.500 0.000 0.000

---

# 9
The following is a DFT calculation (PBE) of a relaxed Sc2NbAgC crystal.

Properties
As for the symmetry: No. 123. The calculation puts the formation energy at -1.24 eV per formula unit. As for the energy: -36.0 eV/f.u. The calculation puts the calculated volume at 17.57 A^3/atom.

Cell: 4.499 4.499 4.339 Å, 90.00 90.00 90.00°
Positions (direct):
Sc: 0.000 0.500 0.000
Sc: 0.500 0.000 0.000
Nb: 0.000 0.000 0.500
Ag: 0.500 0.500 0.500
C: 0.000 0.000 0.000

---

# 10
The following is a DFT calculation (PBE) of a relaxed Sr2Ni3Ge5 crystal.

Properties
As for the symmetry: No. 15. The calculation puts the formation energy at -4.76 eV per formula unit. As for the energy: -48.6 eV/f.u. The calculation puts the calculated volume at 18.33 A^3/atom.

Cell: 8.426 8.426 6.003 Å, 110.79 110.79 91.72°
Positions (direct):
Sr: 0.110 0.374 0.242
Sr: 0.374 0.110 0.742
Sr: 0.626 0.890 0.258
Sr: 0.890 0.626 0.758
Ni: 0.018 0.757 0.387
Ni: 0.243 0.982 0.113
Ni: 0.500 0.500 0.250
Ni: 0.500 0.500 0.750
Ni: 0.757 0.018 0.887
Ni: 0.982 0.243 0.613
Ge: 0.000 0.000 0.250
Ge: 0.000 0.000 0.750
Ge: 0.248 0.456 0.852
Ge: 0.257 0.743 0.750
Ge: 0.258 0.742 0.250
Ge: 0.456 0.248 0.352
Ge: 0.544 0.752 0.648
Ge: 0.742 0.258 0.750
Ge: 0.743 0.257 0.250
Ge: 0.752 0.544 0.148

---

# 11
The following is a DFT calculation (PBE) of a relaxed Rb2NaNpH6 crystal.

Properties
As for the symmetry: No. 225. As for the energy: -36.2 eV/f.u. The calculation puts the calculated volume at 18.82 A^3/atom.

Cell: 6.433 6.433 6.433 Å, 60.00 60.00 60.00°
Positions (direct):
Rb: 0.250 0.250 0.250
Rb: 0.750 0.750 0.750
Na: 0.000 0.000 0.000
Np: 0.500 0.500 0.500
H: 0.255 0.255 0.745
H: 0.255 0.745 0.255
H: 0.255 0.745 0.745
H: 0.745 0.255 0.255
H: 0.745 0.255 0.745
H: 0.745 0.745 0.255

---

# 12
The following is a DFT calculation (PBE) of a relaxed Li4PrPb5 crystal.

Properties
As for the symmetry: No. 123. The calculation puts the formation energy at -3.11 eV per formula unit. As for the energy: -34.1 eV/f.u. The calculation puts the calculated volume at 24.33 A^3/atom.

Cell: 3.607 3.607 18.696 Å, 90.00 90.00 90.00°
Positions (direct):
Li: 0.000 0.000 0.093
Li: 0.000 0.000 0.282
Li: 0.000 0.000 0.718
Li: 0.000 0.000 0.907
Pr: 0.000 0.000 0.500
Pb: 0.500 0.500 0.000
Pb: 0.500 0.500 0.187
Pb: 0.500 0.500 0.375
Pb: 0.500 0.500 0.625
Pb: 0.500 0.500 0.813

---

# 13
The following is a DFT calculation (PBE) of a relaxed TaCu2Pb crystal.

Properties
As for the symmetry: No. 216. The calculation puts the formation energy at 2.61 eV per formula unit. As for the energy: -21.1 eV/f.u. The calculation puts the calculated volume at 17.46 A^3/atom.

Cell: 4.623 4.623 4.623 Å, 60.00 60.00 60.00°
Positions (direct):
Ta: 0.000 0.000 0.000
Cu: 0.250 0.250 0.250
Cu: 0.500 0.500 0.500
Pb: 0.750 0.750 0.750

---

# 14
The following is a DFT calculation (PBE) of a relaxed TlFe2Rh crystal.

Properties
As for the symmetry: No. 225. The calculation puts the formation energy at 1.63 eV per formula unit. As for the energy: -25.0 eV/f.u. For the polymorph energy (0 for the lowest one), the calculation gives 0.179 eV per atom. The calculation puts the calculated volume at 15.26 A^3/atom.

Cell: 4.420 4.420 4.420 Å, 60.00 60.00 60.00°
Positions (direct):
Tl: 0.000 0.000 0.000
Fe: 0.250 0.250 0.250
Fe: 0.750 0.750 0.750
Rh: 0.500 0.500 0.500

---

# 15
The following is a DFT calculation (PBE) of a relaxed Pr6Te3P2I crystal.

Properties
The formation energy without anion corrections comes out at -1.431 eV/atom. As for the symmetry: No. 12. As for the energy: -67.6 eV/f.u. The calculation puts the calculated volume at 30.84 A^3/atom.

Cell: 9.911 9.911 9.011 Å, 102.72 102.72 25.42°
Positions (direct):
Pr: 0.021 0.021 0.273
Pr: 0.323 0.323 0.871
Pr: 0.325 0.325 0.435
Pr: 0.675 0.675 0.565
Pr: 0.677 0.677 0.129
Pr: 0.979 0.979 0.727
Te: 0.157 0.157 0.838
Te: 0.500 0.500 0.500
Te: 0.843 0.843 0.162
P: 0.172 0.172 0.341
P: 0.828 0.828 0.659
I: 0.500 0.500 0.000

---

# 16
The following is a DFT calculation (PBE) of a relaxed La2Nd6Cd crystal.

Properties
As for the symmetry: No. 58. The calculation puts the formation energy at -0.07 eV per formula unit. As for the energy: -39.4 eV/f.u. For the polymorph energy (0 for the lowest one), the calculation gives 0.029 eV per atom. The calculation puts the calculated volume at 34.12 A^3/atom.

Cell: 10.108 10.639 5.711 Å, 90.00 90.00 90.00°
Positions (direct):
La: 0.183 0.248 0.000
La: 0.317 0.748 0.500
La: 0.683 0.252 0.500
La: 0.817 0.752 0.000
Nd: 0.012 0.187 0.500
Nd: 0.140 0.602 0.000
Nd: 0.185 0.925 0.000
Nd: 0.315 0.425 0.500
Nd: 0.360 0.102 0.500
Nd: 0.488 0.687 0.000
Nd: 0.512 0.313 0.000
Nd: 0.640 0.898 0.500
Nd: 0.685 0.575 0.500
Nd: 0.815 0.075 0.000
Nd: 0.860 0.398 0.000
Nd: 0.988 0.813 0.500
Cd: 0.000 0.500 0.500
Cd: 0.500 0.000 0.000

---

# 17
The following is a DFT calculation (PBE) of a relaxed Tb2Pm6DyHo3 crystal.

Properties
As for the symmetry: No. 12. The calculation puts the formation energy at 0.15 eV per formula unit. As for the energy: -56.0 eV/f.u. The calculation puts the calculated volume at 32.73 A^3/atom.

Cell: 6.237 6.237 11.838 Å, 95.02 95.02 119.99°
Positions (direct):
Tb: 0.167 0.833 0.000
Tb: 0.833 0.167 0.000
Pm: 0.083 0.416 0.749
Pm: 0.251 0.251 0.251
Pm: 0.416 0.083 0.749
Pm: 0.584 0.917 0.251
Pm: 0.749 0.749 0.749
Pm: 0.917 0.584 0.251
Dy: 0.500 0.500 0.000
Ho: 0.000 0.000 0.500
Ho: 0.333 0.667 0.500
Ho: 0.667 0.333 0.500

---

# 18
The following is a DFT calculation (PBE) of a relaxed FeRe3Pd crystal.

Properties
As for the symmetry: No. 221. The calculation puts the formation energy at 7.38 eV per formula unit. As for the energy: -43.6 eV/f.u. For the polymorph energy (0 for the lowest one), the calculation gives 0.000 eV per atom. The calculation puts the calculated volume at 16.85 A^3/atom.

Cell: 4.384 4.384 4.384 Å, 90.00 90.00 90.00°
Positions (direct):
Fe: 0.000 0.000 0.000
Re: 0.000 0.000 0.500
Re: 0.000 0.500 0.000
Re: 0.500 0.000 0.000
Pd: 0.500 0.500 0.500

---

# 19
The following is a DFT calculation (PBE) of a relaxed BiClO crystal.

Properties
The formation energy without anion corrections comes out at -1.262 eV/atom. As for the symmetry: No. 129. As for the energy: -14.5 eV/f.u. For the polymorph energy (0 for the lowest one), the calculation gives 0.000 eV per atom. The calculation puts the calculated volume at 20.31 A^3/atom.

Cell: 3.906 3.906 7.986 Å, 90.00 90.00 90.00°
Positions (direct):
Bi: 0.250 0.250 0.160
Bi: 0.750 0.750 0.840
Cl: 0.250 0.250 0.667
Cl: 0.750 0.750 0.333
O: 0.250 0.750 0.000
O: 0.750 0.250 0.000

---

# 20
The following is a DFT calculation (PBE) of a relaxed GePN2F crystal.

Properties
The formation energy without anion corrections comes out at 0.272 eV/atom. As for the symmetry: No. 123. As for the energy: -27.2 eV/f.u. For the polymorph energy (0 for the lowest one), the calculation gives 0.000 eV per atom. The calculation puts the calculated volume at 10.46 A^3/atom.

Cell: 3.578 3.578 4.085 Å, 90.00 90.00 90.00°
Positions (direct):
Ge: 0.000 0.000 0.000
P: 0.500 0.500 0.500
N: 0.000 0.500 0.500
N: 0.500 0.000 0.500
F: 0.500 0.500 0.000

---

# 21
The following is a DFT calculation (PBE) of a relaxed Zr3TlNi crystal.

Properties
As for the symmetry: No. 221. The calculation puts the formation energy at 7.91 eV per formula unit. As for the energy: -25.9 eV/f.u. For the polymorph energy (0 for the lowest one), the calculation gives 1.498 eV per atom. The calculation puts the calculated volume at 29.81 A^3/atom.

Cell: 5.302 5.302 5.302 Å, 90.00 90.00 90.00°
Positions (direct):
Zr: 0.000 0.000 0.500
Zr: 0.000 0.500 0.000
Zr: 0.500 0.000 0.000
Tl: 0.000 0.000 0.000
Ni: 0.500 0.500 0.500

---

# 22
The following is a DFT calculation (PBE) of a relaxed ZnCr2Hg crystal.

Properties
As for the symmetry: No. 123. The calculation puts the formation energy at 1.81 eV per formula unit. As for the energy: -19.0 eV/f.u. For the polymorph energy (0 for the lowest one), the calculation gives 0.202 eV per atom. The calculation puts the calculated volume at 16.84 A^3/atom.

Cell: 4.557 4.557 3.244 Å, 90.00 90.00 90.00°
Positions (direct):
Zn: 0.000 0.000 0.000
Cr: 0.000 0.500 0.500
Cr: 0.500 0.000 0.500
Hg: 0.500 0.500 0.000

---

# 23
The following is a DFT calculation (PBE) of a relaxed CoCuPd2Se crystal.

Properties
The formation energy without anion corrections comes out at 0.892 eV/atom. As for the symmetry: No. 123. As for the energy: -20.6 eV/f.u. The calculation puts the calculated volume at 19.36 A^3/atom.

Cell: 4.717 4.717 4.351 Å, 90.00 90.00 90.00°
Positions (direct):
Co: 0.000 0.000 0.000
Cu: 0.500 0.500 0.500
Pd: 0.000 0.500 0.500
Pd: 0.500 0.000 0.500
Se: 0.500 0.500 0.000

---

# 24
The following is a DFT calculation (PBE) of a relaxed NpSCl crystal.

Properties
The formation energy without anion corrections comes out at -1.263 eV/atom. As for the symmetry: No. 38. As for the energy: -22.7 eV/f.u. The calculation puts the calculated volume at 33.50 A^3/atom.

Cell: 5.419 4.645 4.645 Å, 59.27 90.00 90.00°
Positions (direct):
Np: 0.000 0.000 0.000
S: 0.000 0.669 0.669
Cl: 0.500 0.998 0.998